No. 1
A geometry-optimized K2PaRu3O12 structure, computed with PBE.

```
K2PaRu3O12
1.0
3.626 2.093 6.265
-3.626 2.093 6.265
0.000 -4.187 6.265
K Pa Ru O
2 1 3 12
Direct
0.138 0.138 0.138 K
0.862 0.862 0.862 K
0.500 0.500 0.500 Pa
0.000 0.500 0.500 Ru
0.500 0.000 0.500 Ru
0.500 0.500 0.000 Ru
0.148 0.581 0.581 O
0.198 0.198 0.575 O
0.198 0.575 0.198 O
0.419 0.419 0.852 O
0.419 0.852 0.419 O
0.425 0.802 0.802 O
0.575 0.198 0.198 O
0.581 0.148 0.581 O
0.581 0.581 0.148 O
0.802 0.425 0.802 O
0.802 0.802 0.425 O
0.852 0.419 0.419 O
```

* volume: 15.9 Å³ per atom
* D(E_F): 8.0 states/eV/cell
* energy relative to the elements, uncorrected: -1.519 eV per atom
* electronic total energy: -7.020 eV/atom


No. 2
A geometry-optimized KPaS2O8 structure, computed with PBE.

```
KPaS2O8
1.0
5.532 0.000 0.000
-2.766 4.791 0.000
0.000 0.000 8.170
K Pa S O
1 1 2 8
Direct
0.000 0.000 0.000 K
0.000 0.000 0.500 Pa
0.333 0.667 0.244 S
0.667 0.333 0.756 S
0.187 0.373 0.310 O
0.187 0.813 0.310 O
0.333 0.667 0.066 O
0.373 0.187 0.690 O
0.627 0.813 0.310 O
0.667 0.333 0.934 O
0.813 0.187 0.690 O
0.813 0.627 0.690 O
```

* volume: 18.0 Å³ per atom
* D(E_F): 4.4 states/eV/cell
* energy relative to the elements, uncorrected: -1.825 eV per atom
* electronic total energy: -6.701 eV/atom


No. 3
A geometry-optimized KPaS2O structure, computed with PBE.

```
KPaS2O
1.0
5.365 0.000 0.000
0.000 5.365 0.000
0.000 0.000 4.227
K Pa S O
1 1 2 1
Direct
0.000 0.000 0.000 K
0.500 0.500 0.500 Pa
0.000 0.500 0.500 S
0.500 0.000 0.500 S
0.500 0.500 0.000 O
```

* volume: 24.3 Å³ per atom
* D(E_F): 0.0 states/eV/cell
* energy relative to the elements, uncorrected: -2.145 eV per atom
* electronic total energy: -6.906 eV/atom


No. 4
A geometry-optimized K2PaS2O2 structure, computed with PBE.

```
K2PaS2O2
1.0
-2.183 2.183 8.634
2.183 -2.183 8.634
2.183 2.183 -8.634
K Pa S O
2 1 2 2
Direct
0.152 0.152 0.000 K
0.848 0.848 0.000 K
0.500 0.500 0.000 Pa
0.343 0.343 0.000 S
0.657 0.657 0.000 S
0.000 0.500 0.500 O
0.500 0.000 0.500 O
```

* volume: 23.5 Å³ per atom
* D(E_F): 8.6 states/eV/cell
* energy relative to the elements, uncorrected: -1.986 eV per atom
* electronic total energy: -6.252 eV/atom